(1)
An optimized crystal structure of BaSrZnB2. Source: the Alexandria database, functional PBE.

* space group: P4/mmm
* magnetization: 0.249 μB per formula unit
* calculated formation energy: 1.40 eV/atom
* E: -11.22 eV per formula unit

The structure in POSCAR format:
```
BaSrZnB2
1.0
-4.151 2.047 2.206
-3.248 -3.869 -2.521
0.598 -3.123 4.022
Zn Sr B Ba
1 1 2 1
Cartesian
-1.624 -1.934 -1.261
0.000 0.000 0.000
0.299 -1.561 2.011
-2.075 1.023 1.103
-3.400 -2.473 1.853
```

(2)
An optimized crystal structure of NaNiGe2. Source: the Alexandria database, functional PBE.

* space group: R-3m
* magnetization: 0.000 μB per formula unit
* calculated formation energy: 0.01 eV/atom
* E: -16.30 eV per formula unit
* ΔE to the lowest computed polymorph: 0.181 eV/atom

The structure in POSCAR format:
```
NaNiGe2
1.0
3.911 0.000 0.000
1.956 3.387 0.000
1.956 1.129 7.477
Ge Na Ni
2 1 1
Cartesian
1.956 1.129 4.576
5.867 3.387 2.901
0.000 0.000 0.000
3.911 2.258 3.739
```

(3)
An optimized crystal structure of Pr6Sn2Rh. Source: the Alexandria database, functional PBE.

* space group: P-62m
* magnetization: 0.000 μB per formula unit
* calculated formation energy: -0.55 eV/atom
* E: -48.99 eV per formula unit

The structure in POSCAR format:
```
Pr6Sn2Rh
1.0
4.227 0.000 0.000
0.000 8.661 0.000
0.000 -4.330 7.501
Sn Pr Rh
2 6 1
Cartesian
0.000 4.329 2.502
0.000 -0.001 4.999
0.000 2.104 0.000
0.000 3.279 5.681
2.114 5.119 0.000
2.114 1.770 3.066
2.114 6.100 4.435
0.000 7.609 1.820
2.114 0.003 0.000
```

(4)
An optimized crystal structure of ZrSc2B2Ru5. Source: the Alexandria database, functional PBE.

* space group: P4/mbm
* magnetization: 0.000 μB per formula unit
* calculated formation energy: -0.55 eV/atom
* E: -86.45 eV per formula unit

The structure in POSCAR format:
```
ZrSc2B2Ru5
1.0
-2.923 0.252 -1.025
-3.149 -4.365 7.905
-0.798 8.473 4.361
Ru B Zr Sc
10 4 2 4
Cartesian
-4.073 0.595 7.050
-2.314 6.406 3.462
-2.217 -0.219 1.555
-3.028 0.625 4.077
-3.036 -2.056 3.440
-1.861 4.363 1.668
-4.557 -2.045 7.778
-3.842 3.736 7.163
-4.654 4.580 9.685
-2.797 3.766 4.190
-3.067 -0.628 8.591
-0.880 4.737 3.674
-2.659 4.728 8.745
-1.288 -0.619 3.521
0.000 0.000 0.000
-1.974 2.054 6.133
-2.262 -1.467 6.089
-3.139 2.109 9.468
-0.809 2.000 2.798
-1.685 5.575 6.176
```

(5)
An optimized crystal structure of Na2BN. Source: the Alexandria database, functional PBE.

* space group: Fm-3m
* magnetization: 0.000 μB per formula unit
* formation energy (no corrections): 1.39 eV per atom
* E: -12.09 eV per formula unit
* ΔE to the lowest computed polymorph: 1.459 eV/atom

The structure in POSCAR format:
```
Na2BN
1.0
0.000 3.005 3.005
3.005 0.000 3.005
3.005 3.005 0.000
Na N B
2 1 1
Cartesian
1.503 1.503 1.503
4.508 4.508 4.508
3.005 3.005 3.005
0.000 0.000 0.000
```

(6)
An optimized crystal structure of MnFeHIrPd. Source: the Alexandria database, functional PBE.

* space group: Cm
* magnetization: 6.503 μB per formula unit
* E: -34.89 eV per formula unit
* ΔE to the lowest computed polymorph: 0.060 eV/atom

The structure in POSCAR format:
```
MnFeHIrPd
1.0
4.686 0.000 0.003
0.000 2.760 0.000
-4.416 0.000 9.146
H Fe Mn Pd Ir
2 2 2 2 2
Cartesian
0.671 0.000 1.749
-1.537 1.380 6.322
-1.573 1.380 8.049
0.635 0.000 3.476
-0.215 1.380 1.002
-2.423 0.000 5.575
0.778 0.000 7.882
2.986 1.380 3.309
2.259 0.000 0.976
0.051 1.380 5.549
```

(7)
An optimized crystal structure of EuZrH. Source: the Alexandria database, functional PBE.

* space group: P-6m2
* magnetization: 6.919 μB per formula unit
* E: -22.09 eV per formula unit

The structure in POSCAR format:
```
EuZrH
1.0
-2.669 -1.090 -1.743
1.146 -1.784 2.617
-7.215 6.041 7.275
H Zr Eu
2 2 2
Cartesian
-0.168 -2.068 1.550
-3.776 0.948 5.191
-7.776 3.468 6.486
-2.318 -1.102 0.984
-2.613 1.634 2.981
-4.686 3.369 5.071
```

(8)
An optimized crystal structure of CaMgHg2Bi. Source: the Alexandria database, functional PBE.

* space group: P4/mmm
* magnetization: 0.000 μB per formula unit
* calculated formation energy: 0.25 eV/atom
* E: -6.85 eV per formula unit

The structure in POSCAR format:
```
CaMgHg2Bi
1.0
5.747 0.000 0.000
0.000 5.747 0.000
0.000 0.000 6.012
Ca Mg Hg Bi
1 1 2 1
Cartesian
0.000 0.000 0.000
2.873 2.873 3.006
0.000 2.873 0.000
2.873 0.000 0.000
0.000 0.000 3.006
```

(9)
An optimized crystal structure of HoTmMnCo. Source: the Alexandria database, functional PBE.

* space group: F-43m
* magnetization: 4.109 μB per formula unit
* calculated formation energy: 0.03 eV/atom
* E: -25.20 eV per formula unit

The structure in POSCAR format:
```
HoTmMnCo
1.0
4.833 0.000 0.000
2.416 4.185 0.000
2.416 1.395 3.946
Mn Co Tm Ho
1 1 1 1
Cartesian
0.000 0.000 0.000
4.833 2.790 1.973
2.416 1.395 0.987
7.249 4.185 2.960
```

(10)
An optimized crystal structure of Sr2LiHg6Pd. Source: the Alexandria database, functional PBE.

* space group: P-1
* magnetization: 0.000 μB per formula unit
* calculated formation energy: -0.34 eV/atom
* E: -15.71 eV per formula unit

The structure in POSCAR format:
```
Sr2LiHg6Pd
1.0
-7.024 -1.749 -1.838
0.150 -5.361 4.519
-5.110 -0.936 5.471
Hg Li Sr Pd
6 1 2 1
Cartesian
-9.954 -6.742 6.691
-7.029 -6.101 5.323
-9.670 -2.962 4.961
-2.030 -1.304 1.461
-2.314 -5.084 3.191
-4.955 -1.945 2.829
-3.437 -3.555 1.340
-4.407 -3.999 5.630
-7.578 -4.047 2.522
0.000 0.000 0.000
```

(11)
An optimized crystal structure of Zn2B2Ir. Source: the Alexandria database, functional PBE.

* space group: I4/mmm
* magnetization: 0.000 μB per formula unit
* calculated formation energy: 0.53 eV/atom
* E: -22.12 eV per formula unit
* ΔE to the lowest computed polymorph: 0.385 eV/atom

The structure in POSCAR format:
```
Zn2B2Ir
1.0
-3.096 -1.509 -0.115
1.483 -2.970 -0.926
-0.395 -3.425 3.943
Zn B Ir
2 2 1
Cartesian
0.141 -4.318 1.249
-2.149 -3.587 1.654
-1.272 -5.461 2.655
-0.736 -2.444 0.247
0.000 0.000 0.000
```

(12)
An optimized crystal structure of FeSi2Pt. Source: the Alexandria database, functional PBE.

* space group: Fm-3m
* magnetization: 1.800 μB per formula unit
* formation energy (no corrections): -0.24 eV per atom
* E: -26.30 eV per formula unit

The structure in POSCAR format:
```
FeSi2Pt
1.0
0.000 2.958 2.958
2.958 0.000 2.958
2.958 2.958 0.000
Pt Si Fe
1 2 1
Cartesian
2.958 2.958 2.958
4.437 4.437 4.437
1.479 1.479 1.479
0.000 0.000 0.000
```